(one)
A plane-wave DFT calculation with GGA-PBEsol was carried out for an optimized crystal structure of TlCu2Rh.

Structure (CIF):
```
data_TlCu2Rh
_space_group_name_H-M_alt 'R 3 m'
_space_group_IT_number 160
_space_group_name_Hall 'R 3 -2"'
_cell_length_a 2.9141
_cell_length_b 2.9141
_cell_length_c 24.7812
_cell_angle_alpha 90.00
_cell_angle_beta 90.00
_cell_angle_gamma 120.00
loop_
_atom_site_label
_atom_site_fract_x
_atom_site_fract_y
_atom_site_fract_z
_atom_site_occupancy
Tl1 0.0000 0.0000 0.0000 1
Cu1 0.0000 0.0000 0.4978 1
Cu2 0.0000 0.0000 0.7584 1
Rh1 0.0000 0.0000 0.2429 1
```

## Properties
Magnetic moment: 0.00 μB per atom
DOS(E_F): 7.281 states/eV/cell
V: 15.19 Å³/atom


(two)
A plane-wave DFT calculation with GGA-PBEsol was carried out for an optimized crystal structure of TlCu2Rh.

Structure (CIF):
```
data_TlCu2Rh
_space_group_name_H-M_alt 'P m m m'
_space_group_IT_number 47
_cell_length_a 2.927
_cell_length_b 3.679
_cell_length_c 5.486
_cell_angle_alpha 90.00
_cell_angle_beta 90.00
_cell_angle_gamma 90.00
loop_
_space_group_symop_operation_xyz
'x,y,z'
'-x,-y,-z'
'-x,-y,z'
'x,y,-z'
'x,-y,-z'
'-x,y,z'
'-x,y,-z'
'x,-y,z'
loop_
_atom_site_label
_atom_site_fract_x
_atom_site_fract_y
_atom_site_fract_z
_atom_site_occupancy
Tl1 0.000 0.000 0.000 1
Cu1 0.500 0.500 0.280 1
Rh1 0.000 0.000 0.500 1
```

## Properties
Magnetic moment: 0.00 μB per atom
DOS(E_F): 2.464 states/eV/cell
V: 14.77 Å³/atom


(three)
A plane-wave DFT calculation with GGA-PBEsol was carried out for an optimized crystal structure of TlCu2Rh.

Structure (CIF):
```
data_TlCu2Rh
_space_group_name_H-M_alt 'P 4/m m m'
_space_group_IT_number 123
_space_group_name_Hall '-P 4 2'
_cell_length_a 3.844
_cell_length_b 3.844
_cell_length_c 3.902
_cell_angle_alpha 90.00
_cell_angle_beta 90.00
_cell_angle_gamma 90.00
loop_
_atom_site_label
_atom_site_fract_x
_atom_site_fract_y
_atom_site_fract_z
_atom_site_occupancy
Tl1 0.000 0.000 0.000 1
Cu1 0.000 0.500 0.500 1
Rh1 0.500 0.500 0.000 1
```

## Properties
Magnetic moment: 0.00 μB per atom
DOS(E_F): 0.832 states/eV/cell
V: 14.41 Å³/atom


(four)
A plane-wave DFT calculation with GGA-PBEsol was carried out for an optimized crystal structure of TlCu2Rh.

Structure (CIF):
```
data_TlCu2Rh
_space_group_name_H-M_alt 'F m -3 m'
_space_group_IT_number 225
_space_group_name_Hall '-F 4 2 3'
_cell_length_a 6.120
_cell_length_b 6.120
_cell_length_c 6.120
_cell_angle_alpha 90.00
_cell_angle_beta 90.00
_cell_angle_gamma 90.00
loop_
_atom_site_label
_atom_site_fract_x
_atom_site_fract_y
_atom_site_fract_z
_atom_site_occupancy
Tl1 0.000 0.000 0.000 1
Cu1 0.250 0.250 0.250 1
Rh1 0.000 0.000 0.500 1
```

## Properties
Magnetic moment: 0.00 μB per atom
DOS(E_F): 8.575 states/eV/cell
V: 14.33 Å³/atom


Top of the stability list: (three), leading by 0.116 eV/atom.